## Pr2Ta2Cl2O7 (PBE)

Data for crystalline Pr2Ta2Cl2O7 at its relaxed geometry.

Calculated values
- space-group type = C2/m
- density of states at the Fermi level (states/eV/f.u.) = 0.00
- formation energy (no corrections) (meV/atom) = -2962
- E (hartree per atom) = -0.311

Structure (extended XYZ):
```
13
Lattice="-4.289 2.434 -6.386 -1.328 0.310 -7.952 -4.576 -4.790 -2.154" Properties=species:S:1:pos:R:3 pbc="T T T"
Pr -7.706 -2.102 -11.716
Pr -2.486 0.056 -4.776
Ta -1.118 -0.870 -0.934
Ta -9.075 -1.176 -15.559
Cl -4.399 -1.841 -5.819
Cl -5.794 -0.205 -10.674
O -3.818 0.702 -8.170
O -6.374 -2.748 -8.322
O -4.329 -3.842 -2.973
O -2.288 -2.395 -1.077
O -1.297 0.140 -2.642
O -5.863 1.796 -13.519
O -8.895 -2.186 -13.850
```